[1]
# NaCaO2F (meta-GGA SCAN, single point on PBEsol structure)
data_NaCaO2F
_chemical_formula_sum 'Na1 Ca1 O2 F1'
_symmetry_space_group_name_H-M 'P 4/m m m'
_symmetry_Int_Tables_number 123
_symmetry_space_group_name_Hall '-P 4 2'
_cell_length_a 4.0579
_cell_length_b 4.0579
_cell_length_c 4.0595
_cell_angle_alpha 90.00
_cell_angle_beta 90.00
_cell_angle_gamma 90.00
loop_
_atom_site_label
_atom_site_fract_x
_atom_site_fract_y
_atom_site_fract_z
Na1 0.0000 0.0000 0.0000
Ca1 0.5000 0.5000 0.5000
O1 0.0000 0.5000 0.0000
F1 0.0000 0.0000 0.5000
# energy = -38.23 eV per cell

[2]
# Na2Ca5TiSi4O16F2 (meta-GGA SCAN, single point on PBEsol structure)
data_Na2Ca5TiSi4O16F2
_chemical_formula_sum 'Na2 Ca5 Ti1 Si4 O16 F2'
_symmetry_space_group_name_H-M 'P 1'
_symmetry_Int_Tables_number 1
_cell_length_a 5.6946
_cell_length_b 7.3631
_cell_length_c 9.7022
_cell_angle_alpha 100.79
_cell_angle_beta 101.71
_cell_angle_gamma 90.22
loop_
_symmetry_equiv_pos_as_xyz
'x,y,z'
loop_
_atom_site_label
_atom_site_fract_x
_atom_site_fract_y
_atom_site_fract_z
Na1 0.0000 0.0000 0.0000
Na2 0.4975 0.7656 0.0014
Ca1 0.1955 0.9173 0.6411
Ca2 0.2034 0.4197 0.6308
Ca3 0.4912 0.2666 0.9892
Ca4 0.7836 0.5982 0.3597
Ca5 0.8004 0.0990 0.3518
Ti1 0.9846 0.5205 0.0138
Si1 0.2533 0.2939 0.2779
Si2 0.2607 0.8604 0.2867
Si3 0.7446 0.7250 0.7229
Si4 0.7469 0.1573 0.7093
O1 0.0735 0.3731 0.3821
O2 0.0773 0.8373 0.3909
O3 0.1799 0.3410 0.1161
O4 0.1871 0.7240 0.1273
O5 0.1986 0.0660 0.2440
O6 0.2157 0.4569 0.8773
O7 0.4602 0.6758 0.6689
O8 0.4608 0.1780 0.6628
O9 0.5357 0.3420 0.3405
O10 0.5430 0.8510 0.3520
O11 0.7412 0.5235 0.1059
O12 0.7979 0.9530 0.7551
O13 0.8288 0.6818 0.8856
O14 0.8360 0.2990 0.8664
O15 0.9158 0.6460 0.6132
O16 0.9197 0.1724 0.5988
F1 0.3014 0.9904 0.8841
F2 0.6888 0.0559 0.1085
# energy = -312.55 eV per cell

[3]
# Na2Ca5TiSi4O16F2 (meta-GGA SCAN, single point on PBEsol structure)
data_Na2Ca5TiSi4O16F2
_chemical_formula_sum 'Na4 Ca10 Ti2 Si8 O32 F4'
_symmetry_space_group_name_H-M 'P 1 21 1'
_symmetry_Int_Tables_number 4
_cell_length_a 7.3236
_cell_length_b 5.6479
_cell_length_c 18.9722
_cell_angle_alpha 90.00
_cell_angle_beta 101.09
_cell_angle_gamma 90.00
loop_
_symmetry_equiv_pos_as_xyz
'x,y,z'
'-x,y+1/2,-z'
loop_
_atom_site_label
_atom_site_fract_x
_atom_site_fract_y
_atom_site_fract_z
Na1 0.2430 0.0000 0.2498
Na2 0.2510 0.5054 0.7555
Ca1 0.0943 0.6656 0.9419
Ca2 0.0963 0.8234 0.4487
Ca3 0.4003 0.1655 0.0571
Ca4 0.4051 0.3400 0.5648
Ca5 0.4982 0.5050 0.2486
Ti1 0.0098 0.9706 0.7627
Si1 0.2117 0.6607 0.1098
Si2 0.2143 0.8431 0.6128
Si3 0.3485 0.3416 0.3924
Si4 0.3513 0.1616 0.8925
O1 0.0273 0.7068 0.8103
O2 0.0513 0.7320 0.3214
O3 0.1476 0.4346 0.0591
O4 0.1509 0.5922 0.5753
O5 0.1519 0.9050 0.0681
O6 0.1536 0.0613 0.5581
O7 0.1680 0.6406 0.1913
O8 0.1741 0.8755 0.6945
O9 0.2150 0.3932 0.3130
O10 0.2206 0.1483 0.8117
O11 0.3203 0.0780 0.4209
O12 0.3370 0.4047 0.9354
O13 0.3395 0.9339 0.9429
O14 0.3498 0.5485 0.4514
O15 0.4428 0.6557 0.1320
O16 0.4470 0.8490 0.6338
F1 0.4644 0.1704 0.1864
F2 0.4662 0.3394 0.6899
# energy = -624.65 eV per cell

[4]
# Na4CaZr2TiSi4O16F2 (meta-GGA SCAN, single point on PBEsol structure)
data_Na4CaZr2TiSi4O16F2
_chemical_formula_sum 'Na8 Ca2 Zr4 Ti2 Si8 O32 F4'
_symmetry_space_group_name_H-M 'P 1 2/c 1'
_symmetry_Int_Tables_number 13
_cell_length_a 5.6556
_cell_length_b 7.1328
_cell_length_c 18.5053
_cell_angle_alpha 90.00
_cell_angle_beta 102.94
_cell_angle_gamma 90.00
loop_
_symmetry_equiv_pos_as_xyz
'x,y,z'
'-x,-y,-z'
'-x,y,-z+1/2'
'x,-y,z+1/2'
loop_
_atom_site_label
_atom_site_fract_x
_atom_site_fract_y
_atom_site_fract_z
Na1 0.0000 0.1212 0.2500
Na2 0.2070 0.1136 0.0697
Na3 0.5000 0.3561 0.2500
Ca1 0.5000 0.1421 0.7500
Zr1 0.1995 0.3824 0.5745
Ti1 0.0000 0.3919 0.7500
Si1 0.2686 0.1158 0.8959
Si2 0.2798 0.3422 0.3957
O1 0.0717 0.1760 0.9433
O2 0.0979 0.4106 0.4490
O3 0.1826 0.4154 0.3109
O4 0.1924 0.1892 0.8102
O5 0.2279 0.3786 0.6844
O6 0.2633 0.1136 0.3911
O7 0.4392 0.4027 0.0755
O8 0.4511 0.1799 0.5699
F1 0.2965 0.0990 0.1913
# energy = -692.99 eV per cell